(1)
Material: YZr2Br
Method: DFT, GGA-PBE
State: optimized geometry

```
YZr2Br
1.0
-2.228 -0.064 5.241
-1.184 -3.131 4.608
4.663 0.873 3.452
Y Br Zr
1 1 2
Direct
0.235 0.235 0.293
0.466 0.466 0.495
0.032 0.032 0.898
0.767 0.767 0.813
```

Crystal system: monoclinic
Energy above the most stable polymorph in this dataset, kJ per mole of atoms: 23.3
E_form (uncorrected), meV per atom: -78

***

(2)
Material: SnHgCl2
Method: DFT, GGA-PBE
State: optimized geometry

```
SnHgCl2
1.0
-8.539 -1.685 5.504
-9.460 -3.630 1.838
-7.159 -5.642 4.792
Sn Hg Cl
1 1 2
Direct
0.000 0.000 0.000
0.500 0.500 0.500
0.283 0.283 0.283
0.717 0.717 0.717
```

Crystal system: trigonal
Energy above the most stable polymorph in this dataset, kJ per mole of atoms: 0.0
E_form (uncorrected), meV per atom: -698

***

(3)
Material: MgMo2Os
Method: DFT, GGA-PBE
State: optimized geometry

```
MgMo2Os
1.0
-0.174 -1.463 4.192
2.052 -1.721 -0.516
4.353 2.811 1.161
Mg Mo Os
1 2 1
Direct
0.500 0.750 0.750
0.000 0.020 0.001
0.000 0.480 0.499
0.500 0.250 0.250
```

Crystal system: monoclinic
Formation enthalpy at 0 K, eV/atom: 0.220

***

(4)
Material: CrSnPt6
Method: DFT, GGA-PBE
State: optimized geometry

```
CrSnPt6
1.0
-2.381 -3.108 -0.694
2.747 -2.443 1.514
-3.255 0.864 7.299
Cr Sn Pt
1 1 6
Direct
0.000 0.000 0.500
0.000 0.000 0.000
0.500 0.500 0.000
0.500 0.500 0.500
0.500 0.000 0.261
0.500 0.000 0.739
0.000 0.500 0.261
0.000 0.500 0.739
```

Crystal system: tetragonal
Formation enthalpy at 0 K, eV/atom: -0.312

***

(5)
Material: AcDyOsPd
Method: DFT, GGA-PBE
State: optimized geometry

```
AcDyOsPd
1.0
-1.117 -1.528 -4.718
-4.199 -2.734 -0.859
-3.921 2.076 -2.483
Ac Os Pd Dy
1 1 1 1
Direct
0.250 0.250 0.250
0.000 0.000 0.000
0.500 0.500 0.500
0.750 0.750 0.750
```

Crystal system: cubic
Formation enthalpy at 0 K, eV/atom: -0.314

***

(6)
Material: TiCo3H
Method: DFT, GGA-PBE
State: optimized geometry

```
TiCo3H
1.0
5.078 0.001 -0.001
0.000 4.175 -0.002
2.541 -0.075 4.506
H Co Ti
2 6 2
Direct
0.857 0.081 0.924
0.357 0.080 0.924
0.032 0.335 0.084
0.682 0.826 0.764
0.192 0.826 0.764
0.518 0.333 0.602
0.522 0.335 0.084
0.196 0.828 0.246
0.035 0.346 0.569
0.680 0.815 0.279
```

Crystal system: monoclinic
Energy above the most stable polymorph in this dataset, kJ per mole of atoms: 3.9

***

no.,DFT total energy (eV/atom)
1,-6.39
2,-2.70
3,-8.40
4,-6.55
5,-6.60
6,-6.75